Record 1
Computed, not measured: a geometry-optimized Er5Bi2Au structure at the GGA-PBE level of DFT.

Cell: 5.6648 15.0441 13.5655 Å, 90.00 90.00 90.00°
Space group Cmcm (No. 63)
Unique sites:
Er: 0.0000 0.0843 0.1141 (multiplicity 8)
Er: 0.0000 0.2854 0.7500 (multiplicity 4)
Er: 0.0000 0.3075 0.0389 (multiplicity 8)
Bi: 0.0000 0.1228 0.6051 (multiplicity 8)
Au: 0.0000 0.2277 0.2500 (multiplicity 4)

Computed properties:
calculated total energy: -4.444 eV/atom
total magnetization: 2.315 μB per cell
formation energy: -0.212 eV per atom
volume: 36.13 A^3/atom



Record 2
Computed, not measured: a geometry-optimized ErBiAu4 structure at the GGA-PBE level of DFT.

Cell: 8.0300 8.0300 8.0300 Å, 90.00 90.00 90.00°
Space group F-43m (No. 216)
Unique sites:
Er: 0.0000 0.0000 0.0000 (multiplicity 4)
Bi: 0.2500 0.2500 0.7500 (multiplicity 4)
Au: 0.1254 0.1254 0.3746 (multiplicity 16)

Computed properties:
calculated total energy: -3.994 eV/atom
total magnetization: 0.000 μB per cell
formation energy: -0.402 eV per atom
volume: 21.57 A^3/atom